Material: NaPtWO6
Method: DFT, PBE with a Hubbard U
State: relaxed Values from VASP.

```
&SYSTEM
  ibrav = 0, nat = 18, ntyp = 4
/
ATOMIC_SPECIES
Na 22.99 Na.upf
Pt 195.08 Pt.upf
W 183.84 W.upf
O 16.00 O.upf
CELL_PARAMETERS angstrom
5.2927 0.0000 0.0000
-2.6463 4.5836 0.0000
0.0000 0.0000 10.3139
ATOMIC_POSITIONS crystal
Na 0.0000 0.0000 0.0000
Na 0.0000 0.0000 0.5000
Pt 0.3333 0.6667 0.2500
Pt 0.6667 0.3333 0.7500
W 0.3333 0.6667 0.7500
W 0.6667 0.3333 0.2500
O 0.0074 0.3770 0.6455
O 0.0074 0.6304 0.8545
O 0.3696 0.3770 0.8545
O 0.3696 0.9926 0.6455
O 0.3770 0.0074 0.1455
O 0.3770 0.3696 0.3545
O 0.6230 0.6304 0.6455
O 0.6230 0.9926 0.8545
O 0.6304 0.0074 0.3545
O 0.6304 0.6230 0.1455
O 0.9926 0.3696 0.1455
O 0.9926 0.6230 0.3545
```

Results
- DFT total energy (eV per atom) = -6.21
- crystal system = trigonal
- spin magnetization (Bohr magnetons per cell) = 1.970